## MgScTeI2 (PBE)

Data for a relaxed MgScTeI2 crystal.

abc: 6.5475 5.3477 6.5475
angles: 90.00 90.00 90.00
Site moments in Bohr magnetons follow the coordinates.
Positions (direct):
Mg  0.5000  0.5000  0.5000  0.00
I  0.0000  0.0000  0.5000  0.05
Sc  0.0000  0.5000  0.0000  0.47
I  0.5000  0.0000  0.0000  0.01
Te  0.0000  0.0000  0.0000  -0.02

Output
- raw formation energy (eV/atom) = 0.21
- distance to the lowest polymorph of the same formula (eV per atom) = 0.744
- total magnetic moment (μB per formula unit) = 0.7

=====

## MgScTeI2 (PBE)

Data for a relaxed MgScTeI2 crystal.

abc: 5.6929 5.6929 5.7201
angles: 90.00 90.00 90.00
Positions (direct):
Mg  0.5000  0.5000  0.5000
I  0.0000  0.5000  0.0000
Sc  0.0000  0.0000  0.0000
Te  0.0000  0.0000  0.5000
I  0.5000  0.0000  0.0000

Output
- raw formation energy (eV/atom) = -0.54
- distance to the lowest polymorph of the same formula (eV per atom) = 0.000
- total magnetic moment (μB per formula unit) = 0.0

=====

Among the records above, which one has the highest total magnetic moment? number 1